(1)
CsBeZnH2, optimized geometry, DFT GGA-PBE; volume = 92.7 Å³/cell; SG = Cm, No. 8; raw total energy = -2.45 eV/atom
1.0
4.3477 0.6155 0.0656
2.2573 3.7540 0.3086
1.8441 0.7437 6.2756
Cs Be Zn H
1 1 1 2
direct
0.3996 0.3999 0.2944
0.7622 0.7625 0.8033
0.0719 0.0722 0.7990
0.8253 0.8257 0.9897
0.9355 0.9358 0.6204


(2)
BaGaSe2, optimized geometry, DFT GGA-PBE; volume = 488.9 Å³/cell; SG = P2_1/c, No. 14; formation energy without anion corrections = -1.207 eV per atom
1.0
7.3841 0.0000 0.0000
0.0000 7.4041 -0.4477
0.0000 -3.8685 9.1766
Ba Ga Se
4 4 8
direct
0.2397 0.3273 0.0579
0.2603 0.8273 0.5579
0.7603 0.6727 0.9421
0.7397 0.1727 0.4421
0.7517 0.0585 0.8140
0.2517 0.4415 0.6860
0.2483 0.9415 0.1860
0.7483 0.5585 0.3140
0.4999 0.2543 0.7559
0.2328 0.8028 0.8983
0.9999 0.2457 0.7441
0.5001 0.7457 0.2441
0.7672 0.1972 0.1017
0.7328 0.6972 0.6017
0.2672 0.3028 0.3983
0.0001 0.7543 0.2559


(3)
CeIF2, optimized geometry, DFT GGA-PBE; volume = 85.0 Å³/cell; SG = R-3m, No. 166; formation energy without anion corrections = -3.003 eV per atom
1.0
-3.8102 0.4174 -1.5950
-3.3269 -0.3057 2.4645
-2.1727 5.6415 1.2636
I Ce F
1 1 2
direct
0.5000 0.5000 0.5000
0.0000 0.0000 0.0000
0.3058 0.3058 0.0827
0.6942 0.6942 0.9173


(4)
Cd12GaHg6, optimized geometry, DFT GGA-PBE; volume = 457.6 Å³/cell; SG = R-3, No. 148; formation energy = 0.043 eV per atom
1.0
-6.1876 -5.1141 0.3660
5.2183 -2.7422 5.4612
-2.8287 6.8286 3.1533
Cd Ga Hg
12 1 6
direct
0.5373 0.1936 0.6190
0.1936 0.6190 0.5373
0.6190 0.5373 0.1936
0.4627 0.8064 0.3810
0.8064 0.3810 0.4627
0.3810 0.4627 0.8064
0.2736 0.0560 0.7934
0.2066 0.7264 0.9440
0.9440 0.2066 0.7264
0.7264 0.9440 0.2066
0.7934 0.2736 0.0560
0.0560 0.7934 0.2736
0.0000 0.0000 0.0000
0.1315 0.2068 0.4228
0.7932 0.5772 0.8685
0.5772 0.8685 0.7932
0.8685 0.7932 0.5772
0.2068 0.4228 0.1315
0.4228 0.1315 0.2068


(5)
Zr2MnCr, optimized geometry, DFT GGA-PBE; volume = 146.8 Å³/cell; SG = I-42d, No. 122; formation energy = 0.566 eV per atom
1.0
7.1042 0.0000 0.0000
0.0000 7.1042 0.0000
3.5521 3.5521 2.9091
Cr Mn Zr
2 2 4
direct
0.5000 0.5000 0.0000
0.2500 0.7500 0.5000
0.0000 0.0000 0.0000
0.7500 0.2500 0.5000
0.6319 0.1250 0.2500
0.1181 0.6250 0.2500
0.3750 0.3681 0.7500
0.8750 0.8819 0.7500


(6)
ScPtRh4, optimized geometry, DFT GGA-PBE; volume = 95.9 Å³/cell; SG = F-43m, No. 216; formation energy = -0.226 eV per atom
1.0
0.0000 3.6326 3.6326
3.6326 0.0000 3.6326
3.6326 3.6326 0.0000
Sc Pt Rh
1 1 4
direct
0.7500 0.7500 0.7500
0.0000 0.0000 0.0000
0.8765 0.3745 0.3745
0.3745 0.3745 0.8765
0.3745 0.8765 0.3745
0.3745 0.3745 0.3745


- Number 6 is which compound?
  ScPtRh4